# Tm3Al3Ir2Au | OQMD | GGA-PBE | relaxed
# calculated volume	173	Å³/f.u.
# total DFT energy (no corrections)	-5.95	eV per atom
# symmetry	No. 189
data_Tm3Al3Ir2Au
_chemical_formula_sum 'Tm3 Al3 Ir2 Au1'
_cell_length_a 6.963
_cell_length_b 6.963
_cell_length_c 4.123
_cell_angle_alpha 90.00
_cell_angle_beta 90.00
_cell_angle_gamma 120.00
_symmetry_space_group_name_H-M 'P 1'
_symmetry_Int_Tables_number 1
loop_
_symmetry_equiv_pos_as_xyz
'x,y,z'
loop_
_atom_site_label
_atom_site_type_symbol
_atom_site_fract_x
_atom_site_fract_y
_atom_site_fract_z
_atom_site_occupancy
Tm1 Tm 0.000 0.419 0.000 1
Tm2 Tm 0.419 0.000 0.000 1
Tm3 Tm 0.581 0.581 0.000 1
Al1 Al 0.000 0.748 0.500 1
Al2 Al 0.252 0.252 0.500 1
Al3 Al 0.748 0.000 0.500 1
Ir1 Ir 0.333 0.667 0.500 1
Ir2 Ir 0.667 0.333 0.500 1
Au1 Au 0.000 0.000 0.000 1